A relaxed structure of MgTl2I4, computed with GGA-PBE.

Cell lengths 8.092, 8.326, 9.566 Å; angles 90.00, 107.67, 90.00 degrees
Sites, in units of the cell vectors:
Mg 0.233 0.250 0.303
Mg 0.767 0.750 0.697
Tl 0.230 0.750 0.557
Tl 0.237 0.750 0.060
Tl 0.763 0.250 0.940
Tl 0.770 0.250 0.443
I 0.002 0.503 0.242
I 0.002 0.997 0.242
I 0.426 0.250 0.592
I 0.431 0.250 0.118
I 0.569 0.750 0.882
I 0.574 0.750 0.408
I 0.998 0.003 0.758
I 0.998 0.497 0.758

Summary:
Density: 5.1 Mg/m³
M_tot: 0.0 μB/f.u.
Uncorrected formation energy: -806 meV per atom

***

A relaxed structure of Pr2Al12Au7, computed with GGA-PBE.

Cell lengths 10.524, 10.524, 4.157 Å; angles 90.00, 90.00, 120.00 degrees
Sites, in units of the cell vectors:
Pr 0.333 0.667 0.263
Pr 0.667 0.333 0.737
Al 0.054 0.435 0.747
Al 0.118 0.266 0.260
Al 0.149 0.882 0.260
Al 0.266 0.149 0.740
Al 0.381 0.946 0.747
Al 0.435 0.381 0.253
Al 0.565 0.619 0.747
Al 0.619 0.054 0.253
Al 0.734 0.851 0.260
Al 0.851 0.118 0.740
Al 0.882 0.734 0.740
Al 0.946 0.565 0.253
Au 0.000 0.000 0.500
Au 0.116 0.708 0.763
Au 0.292 0.408 0.763
Au 0.408 0.116 0.237
Au 0.592 0.884 0.763
Au 0.708 0.592 0.237
Au 0.884 0.292 0.237

Summary:
Formation energy from the elements: -0.5196 eV/atom
Density: 8.3 Mg/m³
M_tot: 0.0 μB/f.u.

***

A relaxed structure of Pm4PbS2N, computed with GGA-PBE.

Cell lengths 6.582, 6.582, 6.582 Å; angles 112.43, 112.43, 103.70 degrees
Sites, in units of the cell vectors:
Pm 0.151 0.151 0.630
Pm 0.479 0.849 0.000
Pm 0.521 0.521 0.370
Pm 0.849 0.479 0.000
Pb 0.000 0.000 0.000
S 0.250 0.750 0.500
S 0.750 0.250 0.500
N 0.500 0.500 0.000

Summary:
Density: 6.6 Mg/m³
M_tot: 0.0 μB/f.u.
Uncorrected formation energy: -1300 meV per atom

***

A relaxed structure of Ac5La2Rh5, computed with GGA-PBE.

Cell lengths 7.328, 7.328, 12.764 Å; angles 105.55, 105.55, 33.28 degrees
Sites, in units of the cell vectors:
Ac 0.000 0.000 0.000
Ac 0.156 0.156 0.551
Ac 0.241 0.241 0.858
Ac 0.759 0.759 0.142
Ac 0.844 0.844 0.449
La 0.462 0.462 0.714
La 0.538 0.538 0.286
Rh 0.184 0.184 0.307
Rh 0.387 0.387 0.079
Rh 0.500 0.500 0.500
Rh 0.613 0.613 0.921
Rh 0.816 0.816 0.693

Summary:
Formation energy from the elements: -0.6458 eV/atom
Density: 8.9 Mg/m³
M_tot: 0.0 μB/f.u.

***

A relaxed structure of Pa4NbGe3, computed with GGA-PBE.

Cell lengths 8.354, 8.354, 8.354 Å; angles 96.40, 96.40, 140.98 degrees
Sites, in units of the cell vectors:
Pa 0.092 0.771 0.864
Pa 0.229 0.092 0.321
Pa 0.271 0.592 0.864
Pa 0.408 0.271 0.679
Pa 0.592 0.729 0.321
Pa 0.729 0.408 0.136
Pa 0.771 0.908 0.679
Pa 0.908 0.229 0.136
Nb 0.250 0.750 0.500
Nb 0.750 0.250 0.500
Ge 0.150 0.350 0.500
Ge 0.250 0.250 0.000
Ge 0.350 0.850 0.200
Ge 0.650 0.150 0.800
Ge 0.750 0.750 0.000
Ge 0.850 0.650 0.500

Summary:
Formation energy from the elements: -0.4145 eV/atom
Density: 11.9 Mg/m³
M_tot: 0.0 μB/f.u.

***

A relaxed structure of NpZn2Bi, computed with GGA-PBE.

Cell lengths 5.060, 5.060, 5.060 Å; angles 60.00, 60.00, 60.00 degrees
Sites, in units of the cell vectors:
Np 0.000 0.000 0.000
Zn 0.250 0.250 0.250
Zn 0.750 0.750 0.750
Bi 0.500 0.500 0.500

Summary:
Formation energy from the elements: 0.2258 eV/atom
Density: 10.5 Mg/m³
M_tot: 4.5 μB/f.u.

***

A relaxed structure of Mg4CdIn7, computed with GGA-PBE.

Cell lengths 6.995, 6.995, 10.904 Å; angles 120.96, 120.96, 46.13 degrees
Sites, in units of the cell vectors:
Mg 0.074 0.074 0.274
Mg 0.216 0.216 0.820
Mg 0.784 0.784 0.180
Mg 0.926 0.926 0.726
Cd 0.500 0.500 0.500
In 0.000 0.000 0.500
In 0.142 0.142 0.055
In 0.286 0.286 0.596
In 0.425 0.425 0.151
In 0.575 0.575 0.849
In 0.714 0.714 0.404
In 0.858 0.858 0.945

Summary:
Formation energy from the elements: 0.0509 eV/atom
Density: 5.3 Mg/m³
M_tot: 0.0 μB/f.u.

***

A relaxed structure of Sm2Sc7, computed with GGA-PBE.

Cell lengths 5.789, 5.789, 8.140 Å; angles 90.00, 90.00, 120.00 degrees
Sites, in units of the cell vectors:
Sm 0.333 0.667 0.000
Sm 0.667 0.333 0.000
Sc 0.000 0.000 0.000
Sc 0.000 0.330 0.659
Sc 0.000 0.670 0.341
Sc 0.330 0.000 0.659
Sc 0.330 0.330 0.341
Sc 0.670 0.000 0.341
Sc 0.670 0.670 0.659

Summary:
Formation energy from the elements: 0.0568 eV/atom
Density: 4.3 Mg/m³
M_tot: 0.0 μB/f.u.

***

A relaxed structure of Tb5TlFe2, computed with GGA-PBE.

Cell lengths 8.958, 8.958, 8.958 Å; angles 130.75, 130.75, 72.20 degrees
Sites, in units of the cell vectors:
Tb 0.000 0.000 0.000
Tb 0.044 0.544 0.851
Tb 0.193 0.044 0.500
Tb 0.307 0.807 0.851
Tb 0.456 0.307 0.500
Tb 0.500 0.500 0.000
Tb 0.544 0.693 0.500
Tb 0.693 0.193 0.149
Tb 0.807 0.956 0.500
Tb 0.956 0.456 0.149
Tl 0.250 0.250 0.000
Tl 0.750 0.750 0.000
Fe 0.105 0.395 0.500
Fe 0.395 0.895 0.289
Fe 0.605 0.105 0.711
Fe 0.895 0.605 0.500

Summary:
Formation energy from the elements: -0.0982 eV/atom
Density: 9.1 Mg/m³
M_tot: 0.1 μB/f.u.

***

A relaxed structure of ZrScCd2, computed with GGA-PBE.

Cell lengths 6.844, 6.844, 6.844 Å; angles 154.74, 134.52, 52.74 degrees
Sites, in units of the cell vectors:
Zr 0.000 0.000 0.000
Sc 0.500 0.500 0.000
Cd 0.251 0.251 0.000
Cd 0.749 0.749 0.000

Summary:
Formation energy from the elements: 0.3792 eV/atom
Density: 6.2 Mg/m³
M_tot: 0.0 μB/f.u.

***

A relaxed structure of Na2Pb5Br12, computed with GGA-PBE.

Cell lengths 9.122, 9.122, 10.805 Å; angles 109.61, 109.61, 57.38 degrees
Sites, in units of the cell vectors:
Na 0.249 0.751 0.000
Na 0.751 0.249 0.000
Pb 0.000 0.000 0.500
Pb 0.261 0.261 0.021
Pb 0.323 0.323 0.629
Pb 0.677 0.677 0.371
Pb 0.739 0.739 0.979
Br 0.069 0.069 0.833
Br 0.074 0.537 0.852
Br 0.096 0.632 0.498
Br 0.368 0.904 0.502
Br 0.463 0.926 0.148
Br 0.485 0.485 0.182
Br 0.515 0.515 0.818
Br 0.537 0.074 0.852
Br 0.632 0.096 0.498
Br 0.904 0.368 0.502
Br 0.926 0.463 0.148
Br 0.931 0.931 0.167

Summary:
Density: 4.8 Mg/m³
M_tot: 0.0 μB/f.u.
Uncorrected formation energy: -1006 meV per atom

***

A relaxed structure of MoP2, computed with GGA-PBE.

Cell lengths 5.998, 5.998, 5.998 Å; angles 90.00, 90.00, 90.00 degrees
Sites, in units of the cell vectors:
Mo 0.000 0.000 0.000
Mo 0.000 0.500 0.500
Mo 0.500 0.000 0.500
Mo 0.500 0.500 0.000
P 0.107 0.607 0.893
P 0.107 0.893 0.393
P 0.393 0.107 0.893
P 0.393 0.393 0.393
P 0.607 0.607 0.607
P 0.607 0.893 0.107
P 0.893 0.107 0.607
P 0.893 0.393 0.107

Summary:
Formation energy from the elements: 0.2213 eV/atom
Density: 4.9 Mg/m³
M_tot: 2.1 μB/f.u.

***

A relaxed structure of Pa2InCuN5, computed with GGA-PBE.

Cell lengths 6.976, 6.976, 10.104 Å; angles 90.00, 90.00, 151.87 degrees
Sites, in units of the cell vectors:
Pa 0.122 0.878 0.500
Pa 0.129 0.871 0.100
Pa 0.871 0.129 0.600
Pa 0.878 0.122 0.000
In 0.193 0.807 0.804
In 0.807 0.193 0.304
Cu 0.497 0.503 0.298
Cu 0.503 0.497 0.798
N 0.039 0.961 0.893
N 0.296 0.704 0.486
N 0.307 0.693 0.148
N 0.355 0.645 0.845
N 0.488 0.512 0.606
N 0.512 0.488 0.106
N 0.645 0.355 0.345
N 0.693 0.307 0.648
N 0.704 0.296 0.986
N 0.961 0.039 0.393

Summary:
Density: 10.2 Mg/m³
M_tot: 0.0 μB/f.u.
Uncorrected formation energy: -596 meV per atom

***

A relaxed structure of Sm2Zn3Au, computed with GGA-PBE.

Cell lengths 8.567, 8.567, 8.567 Å; angles 154.20, 150.46, 39.62 degrees
Sites, in units of the cell vectors:
Sm 0.000 0.000 0.000
Sm 0.749 0.249 0.500
Zn 0.164 0.664 0.500
Zn 0.320 0.820 0.500
Zn 0.590 0.590 0.000
Au 0.426 0.426 0.000

Summary:
Formation energy from the elements: -0.4409 eV/atom
Density: 8.6 Mg/m³
M_tot: 0.0 μB/f.u.

***

A relaxed structure of Ho4Ga16Pt3, computed with GGA-PBE.

Cell lengths 6.217, 6.217, 11.051 Å; angles 90.00, 90.00, 90.00 degrees
Sites, in units of the cell vectors:
Ho 0.000 0.500 0.191
Ho 0.000 0.500 0.809
Ho 0.500 0.000 0.191
Ho 0.500 0.000 0.809
Ga 0.000 0.000 0.202
Ga 0.000 0.000 0.798
Ga 0.210 0.210 0.000
Ga 0.210 0.790 0.000
Ga 0.247 0.247 0.375
Ga 0.247 0.247 0.625
Ga 0.247 0.753 0.375
Ga 0.247 0.753 0.625
Ga 0.500 0.500 0.231
Ga 0.500 0.500 0.769
Ga 0.753 0.247 0.375
Ga 0.753 0.247 0.625
Ga 0.753 0.753 0.375
Ga 0.753 0.753 0.625
Ga 0.790 0.210 0.000
Ga 0.790 0.790 0.000
Pt 0.000 0.500 0.500
Pt 0.500 0.000 0.500
Pt 0.500 0.500 0.000

Summary:
Formation energy from the elements: -0.6209 eV/atom
Density: 9.2 Mg/m³
M_tot: 0.0 μB/f.u.

***

A relaxed structure of In2ReTc, computed with GGA-PBE.

Cell lengths 5.058, 5.058, 5.058 Å; angles 131.27, 131.27, 71.39 degrees
Sites, in units of the cell vectors:
In 0.250 0.750 0.500
In 0.750 0.250 0.500
Re 0.000 0.000 0.000
Tc 0.500 0.500 0.000

Summary:
Formation energy from the elements: 0.6880 eV/atom
Density: 11.9 Mg/m³
M_tot: 2.6 μB/f.u.

***

A relaxed structure of YSc2TcPt, computed with GGA-PBE.

Cell lengths 4.981, 4.981, 5.343 Å; angles 90.00, 90.00, 90.00 degrees
Sites, in units of the cell vectors:
Y 0.000 0.000 0.000
Sc 0.000 0.500 0.500
Sc 0.500 0.000 0.500
Tc 0.500 0.500 0.000
Pt 0.000 0.000 0.500

Summary:
Formation energy from the elements: 0.2661 eV/atom
Density: 5.9 Mg/m³
M_tot: 1.8 μB/f.u.

***

A relaxed structure of Na2MgAl3Au12, computed with GGA-PBE.

Cell lengths 7.930, 7.930, 7.930 Å; angles 65.73, 65.73, 65.73 degrees
Sites, in units of the cell vectors:
Na 0.098 0.098 0.098
Na 0.902 0.902 0.902
Mg 0.500 0.500 0.500
Al 0.000 0.500 0.500
Al 0.500 0.000 0.500
Al 0.500 0.500 0.000
Au 0.119 0.644 0.644
Au 0.137 0.137 0.600
Au 0.137 0.600 0.137
Au 0.356 0.356 0.881
Au 0.356 0.881 0.356
Au 0.400 0.863 0.863
Au 0.600 0.137 0.137
Au 0.644 0.119 0.644
Au 0.644 0.644 0.119
Au 0.863 0.400 0.863
Au 0.863 0.863 0.400
Au 0.881 0.356 0.356

Summary:
Formation energy from the elements: -0.1191 eV/atom
Density: 10.5 Mg/m³
M_tot: 0.0 μB/f.u.

***

A relaxed structure of TbPrCdIr, computed with GGA-PBE.

Cell lengths 5.155, 5.155, 5.155 Å; angles 60.00, 60.00, 60.00 degrees
Sites, in units of the cell vectors:
Tb 0.000 0.000 0.000
Pr 0.500 0.500 0.500
Cd 0.750 0.750 0.750
Ir 0.250 0.250 0.250

Summary:
Formation energy from the elements: -0.4494 eV/atom
Density: 10.4 Mg/m³
M_tot: 0.0 μB/f.u.

***

A relaxed structure of BeRe3, computed with GGA-PBE.

Cell lengths 5.764, 7.422, 4.907 Å; angles 90.00, 90.00, 90.00 degrees
Sites, in units of the cell vectors:
Be 0.116 0.250 0.084
Be 0.384 0.750 0.584
Be 0.616 0.250 0.416
Be 0.884 0.750 0.916
Re 0.021 0.750 0.366
Re 0.184 0.550 0.860
Re 0.184 0.950 0.860
Re 0.316 0.050 0.360
Re 0.316 0.450 0.360
Re 0.479 0.250 0.866
Re 0.521 0.750 0.134
Re 0.684 0.550 0.640
Re 0.684 0.950 0.640
Re 0.816 0.050 0.140
Re 0.816 0.450 0.140
Re 0.979 0.250 0.634

Summary:
Formation energy from the elements: -0.0622 eV/atom
Density: 18.0 Mg/m³
M_tot: 0.0 μB/f.u.